No. 1
Computed, not measured: a PBEsol-optimized structure of SrRh2Au at the meta-GGA SCAN level of DFT.

space-group type: Pmmm, No. 47
total DFT energy (no corrections): -39.590 eV per atom
ΔH_f (0 K): 14.8 kJ/mol of atoms
mass density: 11.15 g cm⁻³

Cell and atoms, written as POSCAR:
```
SrRh2Au
1.0
-1.522 1.923 -1.496
-2.436 0.584 3.228
3.754 4.535 2.011
Rh Au Sr
2 1 1
Cartesian
2.639 3.188 1.414
1.115 1.347 0.597
-0.102 3.521 1.872
-1.979 1.254 0.866
```

---

No. 2
Computed, not measured: a PBEsol-optimized structure of TaFeAg2 at the meta-GGA SCAN level of DFT.

space-group type: F-43m, No. 216
total DFT energy (no corrections): -36.448 eV per atom
ΔH_f (0 K): 39.9 kJ/mol of atoms
relative energy among the computed polymorphs: 0.058 eV/atom
mass density: 12.28 g cm⁻³

Cell and atoms, written as POSCAR:
```
TaFeAg2
1.0
4.423 0.000 0.000
2.211 3.830 0.000
2.211 1.277 3.611
Fe Ag Ta
1 2 1
Cartesian
4.423 2.553 1.806
6.634 3.830 2.708
0.000 0.000 0.000
2.211 1.277 0.903
```

---

No. 3
Computed, not measured: a PBEsol-optimized structure of SrTaW2 at the meta-GGA SCAN level of DFT.

space-group type: C2/m, No. 12
total DFT energy (no corrections): -56.005 eV per atom
ΔH_f (0 K): 101.6 kJ/mol of atoms
relative energy among the computed polymorphs: 0.136 eV/atom
mass density: 12.83 g cm⁻³

Cell and atoms, written as POSCAR:
```
SrTaW2
1.0
2.728 0.000 0.000
-1.364 4.691 0.004
0.000 -0.102 6.434
W Ta Sr
2 1 1
Cartesian
0.000 2.277 1.214
1.364 2.312 5.224
1.364 0.000 0.000
0.000 -0.051 3.217
```

---

No. 4
Computed, not measured: a PBEsol-optimized structure of Ba2Se2O at the meta-GGA SCAN level of DFT.

raw formation energy: -1.3892 eV per atom
space-group type: I4/mmm, No. 139
total DFT energy (no corrections): -26.487 eV per atom
mass density: 5.78 g cm⁻³

Cell and atoms, written as POSCAR:
```
Ba2Se2O
1.0
-1.755 -3.525 0.227
0.680 -0.088 3.884
-6.742 5.517 -0.699
Se Ba O
2 2 1
Cartesian
-4.517 0.093 0.792
-3.300 1.812 2.621
-1.955 -1.084 2.320
-5.862 2.988 1.093
0.000 0.000 0.000
```

---

No. 5
Computed, not measured: a PBEsol-optimized structure of DySi3Ir at the meta-GGA SCAN level of DFT.

raw formation energy: -0.8649 eV per atom
space-group type: I4mm, No. 107
total DFT energy (no corrections): -30.653 eV per atom
mass density: 8.70 g cm⁻³

Cell and atoms, written as POSCAR:
```
DySi3Ir
1.0
4.149 0.000 0.000
0.000 4.149 0.000
-2.074 -2.074 4.865
Si Ir Dy
3 1 1
Cartesian
0.000 2.074 2.293
2.074 2.074 0.843
2.074 0.000 2.293
0.000 0.000 3.397
0.000 0.000 0.029
```

---

No. 6
Computed, not measured: a PBEsol-optimized structure of Li2ReW at the meta-GGA SCAN level of DFT.

space-group type: Fm-3m, No. 225
total DFT energy (no corrections): -35.385 eV per atom
ΔH_f (0 K): 97.1 kJ/mol of atoms
relative energy among the computed polymorphs: 0.777 eV/atom
mass density: 12.88 g cm⁻³

Cell and atoms, written as POSCAR:
```
Li2ReW
1.0
4.121 0.000 0.000
2.060 3.569 0.000
2.060 1.190 3.365
Li W Re
2 1 1
Cartesian
6.181 3.569 2.524
2.060 1.190 0.841
4.121 2.379 1.682
0.000 0.000 0.000
```

---

No. 7
Computed, not measured: a PBEsol-optimized structure of ScZnOs2 at the meta-GGA SCAN level of DFT.

space-group type: Pmm2, No. 25
total DFT energy (no corrections): -42.987 eV per atom
ΔH_f (0 K): -10.5 kJ/mol of atoms
mass density: 13.61 g cm⁻³

Cell and atoms, written as POSCAR:
```
ScZnOs2
1.0
2.813 0.000 0.000
0.000 3.926 0.000
0.000 0.000 5.425
Sc Os Zn
1 2 1
Cartesian
0.000 0.000 2.716
1.406 1.963 1.239
0.000 0.000 0.085
1.406 1.963 4.097
```

---

No. 8
Computed, not measured: a PBEsol-optimized structure of CsIn2Se2 at the meta-GGA SCAN level of DFT.

raw formation energy: -0.5913 eV per atom
space-group type: I4/mmm, No. 139
total DFT energy (no corrections): -29.539 eV per atom
mass density: 4.96 g cm⁻³

Cell and atoms, written as POSCAR:
```
CsIn2Se2
1.0
-0.283 5.108 1.293
-4.220 0.556 -3.119
-1.493 -4.258 5.725
In Cs Se
2 1 2
Cartesian
-3.982 -0.435 0.847
-2.014 1.841 3.053
0.000 0.000 0.000
-2.532 -0.964 3.254
-3.464 2.370 0.646
```

---

No. 9
Computed, not measured: a PBEsol-optimized structure of HfTeOsI2 at the meta-GGA SCAN level of DFT.

raw formation energy: 1.1015 eV per atom
space-group type: P4/mmm, No. 123
total DFT energy (no corrections): -47.956 eV per atom
mass density: 7.46 g cm⁻³

Cell and atoms, written as POSCAR:
```
HfTeOsI2
1.0
5.475 0.000 0.000
0.000 5.521 0.000
0.000 0.000 5.521
Te Hf I Os
1 1 2 1
Cartesian
2.737 0.000 0.000
0.000 0.000 0.000
0.000 2.761 0.000
0.000 0.000 2.761
2.737 2.761 2.761
```

---

No. 10
Computed, not measured: a PBEsol-optimized structure of Mo2P3O12 at the meta-GGA SCAN level of DFT.

raw formation energy: -2.2928 eV per atom
space-group type: Pbcm, No. 57
total DFT energy (no corrections): -12.631 eV per atom
relative energy among the computed polymorphs: 0.000 eV/atom
mass density: 3.22 g cm⁻³

Cell and atoms, written as POSCAR:
```
Mo2P3O12
1.0
8.802 0.000 0.000
0.000 9.055 0.000
0.000 0.000 12.336
O P Mo
48 12 8
Cartesian
6.917 4.681 3.084
5.005 3.643 1.446
5.461 7.221 10.820
3.340 2.694 10.820
1.102 7.708 0.860
3.082 3.807 3.084
7.699 3.180 5.308
8.165 5.954 5.211
6.196 4.913 11.623
3.796 5.412 7.614
3.340 2.694 7.684
6.196 8.668 0.713
3.796 8.170 1.446
7.699 1.347 7.028
1.102 5.874 7.028
5.720 8.334 3.084
5.461 6.361 1.516
3.082 0.721 9.252
2.606 0.386 11.623
3.796 8.170 4.722
1.102 5.874 11.476
1.885 0.154 3.084
7.699 3.180 0.860
8.165 7.628 7.125
8.165 7.628 11.379
0.637 1.426 5.211
2.606 0.386 6.881
0.637 3.101 11.379
5.720 5.248 9.252
0.637 3.101 7.125
5.005 0.885 10.890
5.005 3.643 4.722
5.005 0.885 7.614
6.196 8.668 5.455
5.461 7.221 7.684
5.461 6.361 4.652
1.102 7.708 5.308
8.165 5.954 0.957
1.885 4.374 9.252
6.917 8.901 9.252
3.340 1.833 1.516
6.196 4.913 6.881
2.606 4.141 5.455
7.699 1.347 11.476
0.637 1.426 0.957
3.796 5.412 10.890
2.606 4.141 0.713
3.340 1.833 4.652
5.273 5.714 10.719
3.528 1.186 7.784
3.528 3.341 1.617
5.273 5.714 7.784
0.226 6.791 6.168
8.575 2.264 0.000
8.575 2.264 6.168
3.528 1.186 10.719
3.528 3.341 4.551
0.226 6.791 0.000
5.273 7.868 4.551
5.273 7.868 1.617
6.636 8.816 7.440
6.636 4.766 4.896
2.165 4.289 11.064
6.636 4.766 1.272
2.165 0.238 1.272
2.165 4.289 7.440
6.636 8.816 11.064
2.165 0.238 4.896
```

---

No. 11
Computed, not measured: a PBEsol-optimized structure of Mn3WC at the meta-GGA SCAN level of DFT.

space-group type: Pm-3m, No. 221
total DFT energy (no corrections): -26.835 eV per atom
ΔH_f (0 K): 7.3 kJ/mol of atoms
relative energy among the computed polymorphs: 0.000 eV/atom
mass density: 11.43 g cm⁻³

Cell and atoms, written as POSCAR:
```
Mn3WC
1.0
-1.735 2.581 2.080
-1.668 -2.709 1.969
2.864 -0.014 2.407
Mn C W
3 1 1
Cartesian
-0.868 1.291 1.040
1.432 -0.007 1.204
-0.834 -1.354 0.985
0.000 0.000 0.000
-0.270 -0.071 3.228
```

---

No. 12
Computed, not measured: a PBEsol-optimized structure of LiSi2Pt at the meta-GGA SCAN level of DFT.

raw formation energy: -0.3280 eV per atom
space-group type: I-4m2, No. 119
total DFT energy (no corrections): -23.482 eV per atom
mass density: 8.15 g cm⁻³

Cell and atoms, written as POSCAR:
```
LiSi2Pt
1.0
-0.192 -3.183 -1.973
3.490 0.565 -1.250
-0.294 -0.588 4.539
Pt Li Si
1 1 2
Cartesian
2.423 -0.666 0.839
0.000 0.000 0.000
1.649 -1.309 -1.611
0.582 -2.540 0.477
```